VASP calculation (GGA-PBE) on a relaxed structure of Cs9Rb3O2.

D(E_F): 0.48 states/eV per atom
Raw formation energy: -0.445 eV/atom
Total energy: -1.909 eV/atom

Cell: 13.0107 13.0107 13.0107 Å, 85.63 85.63 85.63°
With the nearest neighbours (Å) after each atom.
Sites, in units of the cell vectors:
Cs 0.8759 0.7500 0.6241  2 O 3.01
Cs 0.2573 0.5330 0.4009  1 O 2.88
Rb 0.7500 0.0947 0.4053  12 Cs 5.05-5.62
Cs 0.5330 0.4009 0.2573  1 O 2.88
Cs 0.0330 0.7573 0.9009  1 O 2.88
Cs 0.7427 0.4670 0.5991  1 O 2.88
Cs 0.6241 0.8759 0.7500  2 O 3.01
Rb 0.4053 0.7500 0.0947  12 Cs 5.05-5.62
Cs 0.4670 0.5991 0.7427  1 O 2.88
Cs 0.5991 0.7427 0.4670  1 O 2.88
Cs 0.7500 0.6241 0.8759  2 O 3.01
Cs 0.9670 0.2427 0.0991  1 O 2.88
Cs 0.4009 0.2573 0.5330  1 O 2.88
Cs 0.0991 0.9670 0.2427  1 O 2.88
Rb 0.5947 0.2500 0.9053  12 Cs 5.05-5.62
Rb 0.9053 0.5947 0.2500  12 Cs 5.05-5.62
O 0.3338 0.3338 0.3338  6 Cs 2.88-3.01
Cs 0.9009 0.0330 0.7573  1 O 2.88
Cs 0.1241 0.2500 0.3759  2 O 3.01
O 0.1662 0.1662 0.1662  6 Cs 2.88-3.01
Rb 0.2500 0.9053 0.5947  12 Cs 5.05-5.62
Cs 0.7573 0.9009 0.0330  1 O 2.88
O 0.6662 0.6662 0.6662  6 Cs 2.88-3.01
Cs 0.2427 0.0991 0.9670  1 O 2.88
Cs 0.2500 0.3759 0.1241  2 O 3.01
Rb 0.0947 0.4053 0.7500  12 Cs 5.05-5.62
Cs 0.3759 0.1241 0.2500  2 O 3.01
O 0.8338 0.8338 0.8338  6 Cs 2.88-3.01


VASP calculation (GGA-PBE) on a relaxed structure of Cs4Rb2O.

D(E_F): 0.64 states/eV per atom
Raw formation energy: -0.441 eV/atom
Total energy: -1.914 eV/atom
Energy above the lowest structure with this stoichiometry: 0 meV per atom

Cell: 13.3679 9.2424 9.9215 Å, 90.00 92.22 90.00°
With the nearest neighbours (Å) after each atom.
Sites, in units of the cell vectors:
Rb 0.9090 0.7500 0.7183  8 Cs 4.88-5.38, 2 Rb 4.98-5.21
Cs 0.2231 0.7500 0.4830  1 O 2.67
Cs 0.8056 0.2500 0.9542  1 O 2.68
Cs 0.1944 0.7500 0.0458  1 O 2.68
Cs 0.7769 0.2500 0.5170  1 O 2.67
Rb 0.8225 0.7500 0.2260  2 Rb 4.98-5.21, 7 Cs 5.35-5.56
O 0.6744 0.2500 0.7432  4 Cs 2.64-2.68
Rb 0.1775 0.2500 0.7740  2 Rb 4.98-5.21, 7 Cs 5.35-5.56
Cs 0.4397 0.9833 0.2460  1 O 2.64
O 0.3256 0.7500 0.2568  4 Cs 2.64-2.68
Cs 0.5603 0.0167 0.7540  1 O 2.64
Rb 0.0910 0.2500 0.2817  8 Cs 4.88-5.38, 2 Rb 4.98-5.21
Cs 0.4397 0.5167 0.2460  1 O 2.64
Cs 0.5603 0.4833 0.7540  1 O 2.64


VASP calculation (GGA-PBE) on a relaxed structure of CsRbO.

Raw formation energy: -0.892 eV/atom
Total energy: -3.152 eV/atom

Cell: 5.3070 6.8978 11.2061 Å, 90.00 90.00 90.00°
With the nearest neighbours (Å) after each atom.
Sites, in units of the cell vectors:
Cs 0.7500 0.9461 0.3602  2 O 2.74-2.78
Cs 0.2500 0.0539 0.6398  2 O 2.74-2.78
O 0.2500 0.6579 0.6208  2 Cs 2.74-2.78, 3 Rb 2.74-2.86
Cs 0.2500 0.5539 0.8602  2 O 2.74-2.78
Rb 0.2500 0.9923 0.1018  3 O 2.74-2.86
Cs 0.7500 0.4461 0.1398  2 O 2.74-2.78
Rb 0.7500 0.0077 0.8982  3 O 2.74-2.86
O 0.7500 0.8421 0.1208  2 Cs 2.74-2.78, 3 Rb 2.74-2.86
Rb 0.2500 0.4923 0.3982  3 O 2.74-2.86
O 0.7500 0.3421 0.3792  2 Cs 2.74-2.78, 3 Rb 2.74-2.86
O 0.2500 0.1579 0.8792  2 Cs 2.74-2.78, 3 Rb 2.74-2.86
Rb 0.7500 0.5077 0.6018  3 O 2.74-2.86


VASP calculation (GGA-PBE) on a relaxed structure of Cs5Rb5O2.

D(E_F): 0.61 states/eV per atom
Raw formation energy: -0.411 eV/atom
Total energy: -1.996 eV/atom

Cell: 4.4133 12.5923 17.5642 Å, 123.95 90.00 100.09°
With the nearest neighbours (Å) after each atom.
Sites, in units of the cell vectors:
Cs 0.6223 0.2445 0.8289  2 O 3.07, 1 Rb 3.41
Rb 0.2253 0.4507 0.6199  3 Rb 4.41-4.92
O 0.0826 0.1652 0.9098  1 Cs 2.73, 2 Rb 2.91
Rb 0.7747 0.5493 0.3801  3 Rb 4.41-4.92
Rb 0.5000 0.0000 0.5000  2 Rb 4.41, 2 Cs 4.76
Cs 0.0000 0.0000 0.0000  2 O 3.22
O 0.9174 0.8348 0.0902  1 Cs 2.73, 2 Rb 2.91
Rb 0.6461 0.2922 0.0400  2 O 2.91
Cs 0.9605 0.9211 0.7481  1 O 2.73
Cs 0.3777 0.7555 0.1711  2 O 3.07, 1 Rb 3.41
Rb 0.3539 0.7078 0.9600  2 O 2.91
Cs 0.0395 0.0789 0.2519  1 O 2.73


VASP calculation (GGA-PBE) on a relaxed structure of Cs6Rb8O.

D(E_F): 0.84 states/eV per atom
Raw formation energy: -0.177 eV/atom
Total energy: -1.365 eV/atom

Cell: 11.5103 11.5103 11.5103 Å, 72.30 72.30 72.30°
With the nearest neighbours (Å) after each atom.
Sites, in units of the cell vectors:
Cs 0.6093 0.1668 0.4814  5 Rb 4.95-5.40, 5 Cs 5.05-5.36
O 0.0000 0.0000 0.0000  6 Rb 2.85
Rb 0.2542 0.0221 0.9198  1 O 2.85
Rb 0.7458 0.9779 0.0802  1 O 2.85
Rb 0.0802 0.7458 0.9779  1 O 2.85
Cs 0.8332 0.5186 0.3907  5 Rb 4.95-5.40, 5 Cs 5.05-5.36
Rb 0.2481 0.2481 0.2481  6 Cs 4.95-5.32, 3 Rb 5.17
Rb 0.9198 0.2542 0.0221  1 O 2.85
Cs 0.3907 0.8332 0.5186  5 Rb 4.95-5.40, 5 Cs 5.05-5.36
Rb 0.7519 0.7519 0.7519  6 Cs 4.95-5.32, 3 Rb 5.17
Rb 0.0221 0.9198 0.2542  1 O 2.85
Rb 0.9779 0.0802 0.7458  1 O 2.85
Cs 0.4814 0.6093 0.1668  5 Rb 4.95-5.40, 5 Cs 5.05-5.36
Cs 0.5186 0.3907 0.8332  5 Rb 4.95-5.40, 5 Cs 5.05-5.36
Cs 0.1668 0.4814 0.6093  5 Rb 4.95-5.40, 5 Cs 5.05-5.36


VASP calculation (GGA-PBE) on a relaxed structure of Cs2RbO6.

D(E_F): 1.08 states/eV per atom
Raw formation energy: -0.783 eV/atom
Total energy: -4.385 eV/atom
Energy above the lowest structure with this stoichiometry: 10 meV per atom

Cell: 4.5226 7.3909 7.3906 Å, 120.00 90.00 90.00°
With the nearest neighbours (Å) after each atom.
Sites, in units of the cell vectors:
O 0.9996 0.4085 0.0000  1 O 1.35
O 0.0004 0.4085 0.4085  1 O 1.35
O 0.0004 0.5915 0.0000  1 O 1.35
Rb 0.0000 0.0000 0.0000  6 O 3.02
O 0.0004 0.0000 0.5915  1 O 1.35
O 0.9996 0.5915 0.5915  1 O 1.35
O 0.9996 0.0000 0.4085  1 O 1.35
Cs 0.5000 0.6667 0.3333  12 O 3.18
Cs 0.5000 0.3333 0.6667  12 O 3.18


VASP calculation (GGA-PBE) on a relaxed structure of Cs3RbO4.

Raw formation energy: -0.901 eV/atom
Total energy: -3.821 eV/atom

Cell: 4.6661 5.5462 8.6014 Å, 108.64 105.74 90.00°
With the nearest neighbours (Å) after each atom.
Sites, in units of the cell vectors:
Cs 0.2010 0.2014 0.4020  2 O 2.84-2.85
Cs 0.7990 0.7986 0.5980  2 O 2.84-2.85
O 0.3767 0.2410 0.7535  1 O 1.52
Rb 0.5000 0.0000 0.0000  4 O 2.79
O 0.6236 0.4856 0.2472  1 O 1.52
O 0.3764 0.5144 0.7528  1 O 1.52
O 0.6233 0.7590 0.2465  1 O 1.52
Cs 0.0000 0.5000 0.0000  8 O 3.12


VASP calculation (GGA-PBE) on a relaxed structure of Cs2Rb3O8.

D(E_F): 1.07 states/eV per atom
Raw formation energy: -0.848 eV/atom
Total energy: -4.254 eV/atom

Cell: 8.1458 7.4533 7.4533 Å, 89.25 119.82 119.82°
With the nearest neighbours (Å) after each atom.
Sites, in units of the cell vectors:
Rb 0.0000 0.2908 0.7092  6 O 2.98-3.09
O 0.9426 0.1448 0.1448  1 O 1.38
O 0.5042 0.5887 0.0396  1 O 1.41
Rb 0.5000 0.0000 0.0000  4 O 2.76-3.06
Cs 0.5988 0.7111 0.7111  5 O 2.88-2.95
O 0.0574 0.8552 0.8552  1 O 1.38
O 0.9782 0.6904 0.6904  1 O 1.38
O 0.4958 0.4113 0.9604  1 O 1.41
O 0.4958 0.9604 0.4113  1 O 1.41
Cs 0.4012 0.2889 0.2889  5 O 2.88-2.95
O 0.5042 0.0396 0.5887  1 O 1.41
O 0.0218 0.3096 0.3096  1 O 1.38
Rb 0.0000 0.7092 0.2908  6 O 2.98-3.09


VASP calculation (GGA-PBE) on a relaxed structure of Cs2Rb4O.

D(E_F): 0.60 states/eV per atom
Raw formation energy: -0.396 eV/atom
Total energy: -1.901 eV/atom
Energy above the lowest structure with this stoichiometry: 0 meV per atom

Cell: 5.8527 5.8527 15.5174 Å, 79.13 79.13 90.00°
With the nearest neighbours (Å) after each atom.
Sites, in units of the cell vectors:
Cs 0.3084 0.3084 0.3831  4 Rb 5.13, 4 Cs 5.42
Rb 0.0901 0.0901 0.8198  1 O 2.70
Cs 0.6916 0.6916 0.6169  4 Rb 5.13, 4 Cs 5.42
O 0.0000 0.0000 0.0000  6 Rb 2.70-2.93
Rb 0.9099 0.9099 0.1802  1 O 2.70
Rb 0.5000 0.0000 0.0000  2 O 2.93
Rb 0.0000 0.5000 0.0000  2 O 2.93


VASP calculation (GGA-PBE) on a relaxed structure of CsRb2O8.

D(E_F): 0.63 states/eV per atom
Raw formation energy: -0.654 eV/atom
Total energy: -4.514 eV/atom

Cell: 5.5131 7.6929 7.0098 Å, 56.69 83.72 78.50°
With the nearest neighbours (Å) after each atom.
Sites, in units of the cell vectors:
O 0.9561 0.5056 0.4123  1 O 1.32
Cs 0.0000 0.0000 0.0000  4 O 2.84
Rb 0.5006 0.3058 0.3887  7 O 2.91-3.22
O 0.5002 0.9416 0.1152  1 O 1.35
O 0.9553 0.9182 0.5875  1 O 1.32
O 0.0439 0.4944 0.5877  1 O 1.32
O 0.1079 0.5201 0.9998  1 O 1.29
Rb 0.4994 0.6942 0.6113  7 O 2.91-3.22
O 0.0447 0.0818 0.4125  1 O 1.32
O 0.4998 0.0584 0.8848  1 O 1.35
O 0.8921 0.4799 0.0002  1 O 1.29


VASP calculation (GGA-PBE) on a relaxed structure of CsRb7O2.

D(E_F): 0.64 states/eV per atom
Raw formation energy: -0.537 eV/atom
Total energy: -2.292 eV/atom

Cell: 5.7343 12.9213 12.9213 Å, 141.42 90.00 90.00°
With the nearest neighbours (Å) after each atom.
Sites, in units of the cell vectors:
Rb 0.5000 0.0636 0.4138  2 O 2.80-2.83
Rb 0.0000 0.7372 0.2628  2 O 2.88
Rb 0.5000 0.4138 0.0636  2 O 2.80-2.83
Rb 0.5000 0.9364 0.5862  2 O 2.80-2.83
Rb 0.0000 0.2628 0.7372  2 O 2.88
O 0.5000 0.7463 0.2537  6 Rb 2.80-2.88
Cs 0.0000 0.0000 0.0000  12 Rb 5.14-5.53, 2 Cs 5.73
Rb 0.5000 0.5862 0.9364  2 O 2.80-2.83
Rb 0.5000 0.5000 0.5000  4 Rb 4.82, 4 Cs 5.14
O 0.5000 0.2537 0.7463  6 Rb 2.80-2.88


VASP calculation (GGA-PBE) on a relaxed structure of CsRbO3.

D(E_F): 0.27 states/eV per atom
Raw formation energy: 0.006 eV/atom
Total energy: -3.333 eV/atom

Cell: 4.4490 4.4490 4.4490 Å, 90.00 90.00 90.00°
With the nearest neighbours (Å) after each atom.
Sites, in units of the cell vectors:
O 0.0000 0.5000 0.0000  2 Cs 2.22
Cs 0.0000 0.0000 0.0000  6 O 2.22
Rb 0.5000 0.5000 0.5000  12 O 3.15
O 0.5000 0.0000 0.0000  2 Cs 2.22
O 0.0000 0.0000 0.5000  2 Cs 2.22